Version A
# PBE ReP2Ru, relaxed
data_ReP2Ru
_cell_length_a 2.953
_cell_length_b 4.431
_cell_length_c 4.105
_cell_angle_alpha 90.00
_cell_angle_beta 90.00
_cell_angle_gamma 90.00
_space_group_name_H-M_alt 'P m m 2'
_space_group_IT_number 25
_space_group_name_Hall 'P 2 -2'
loop_
_atom_site_label
_atom_site_fract_x
_atom_site_fract_y
_atom_site_fract_z
_atom_site_occupancy
Re1 0.000 0.000 0.000 1
P1 0.000 0.500 0.242 1
P2 0.500 0.000 0.498 1
Ru1 0.500 0.500 0.738 1
# - volume (Å³/cell) = 54
# - crystal system = orthorhombic
# - magnetization (Bohr magnetons per cell) = 0.00

=====

Version B
# PBE ReP2Ru, relaxed
data_ReP2Ru
_cell_length_a 3.028
_cell_length_b 4.763
_cell_length_c 8.237
_cell_angle_alpha 90.00
_cell_angle_beta 90.00
_cell_angle_gamma 90.00
_space_group_name_H-M_alt 'C m m 2'
_space_group_IT_number 35
_space_group_name_Hall 'C 2 -2'
loop_
_atom_site_label
_atom_site_fract_x
_atom_site_fract_y
_atom_site_fract_z
_atom_site_occupancy
Re1 0.000 0.000 0.000 1
P1 0.000 0.000 0.496 1
P2 0.000 0.500 0.784 1
Ru1 0.000 0.500 0.288 1
# - volume (Å³/cell) = 119
# - crystal system = orthorhombic
# - magnetization (Bohr magnetons per cell) = 0.00

=====

Version C
# PBE ReP2Ru, relaxed
data_ReP2Ru
_cell_length_a 2.881
_cell_length_b 5.161
_cell_length_c 7.653
_cell_angle_alpha 90.00
_cell_angle_beta 90.00
_cell_angle_gamma 90.00
_space_group_name_H-M_alt 'I m m m'
_space_group_IT_number 71
_space_group_name_Hall '-I 2 2'
loop_
_atom_site_label
_atom_site_fract_x
_atom_site_fract_y
_atom_site_fract_z
_atom_site_occupancy
Re1 0.000 0.000 0.000 1
P1 0.000 0.500 0.248 1
Ru1 0.000 0.000 0.500 1
# - volume (Å³/cell) = 114
# - crystal system = orthorhombic
# - magnetization (Bohr magnetons per cell) = 0.00

=====

Tell me which of them is the most stable. Sure, it is version A.

=====

Version A
# PBE ReP2Ru, relaxed
data_ReP2Ru
_cell_length_a 5.345
_cell_length_b 5.345
_cell_length_c 10.189
_cell_angle_alpha 90.00
_cell_angle_beta 90.00
_cell_angle_gamma 90.00
_space_group_name_H-M_alt 'I -4 2 d'
_space_group_IT_number 122
_space_group_name_Hall 'I -4 2bw'
loop_
_atom_site_label
_atom_site_fract_x
_atom_site_fract_y
_atom_site_fract_z
_atom_site_occupancy
Re1 0.000 0.000 0.000 1
P1 0.247 0.250 0.625 1
Ru1 0.000 0.000 0.500 1
# - volume (Å³/cell) = 291
# - crystal system = tetragonal
# - magnetization (Bohr magnetons per cell) = 0.00

=====

Version B
# PBE ReP2Ru, relaxed
data_ReP2Ru
_cell_length_a 2.918
_cell_length_b 5.115
_cell_length_c 7.616
_cell_angle_alpha 90.00
_cell_angle_beta 90.00
_cell_angle_gamma 90.00
_space_group_name_H-M_alt 'C m m m'
_space_group_IT_number 65
_space_group_name_Hall '-C 2 2'
loop_
_atom_site_label
_atom_site_fract_x
_atom_site_fract_y
_atom_site_fract_z
_atom_site_occupancy
Re1 0.000 0.000 0.000 1
P1 0.000 0.500 0.253 1
Ru1 0.000 0.000 0.500 1
# - volume (Å³/cell) = 114
# - crystal system = orthorhombic
# - magnetization (Bohr magnetons per cell) = 0.00

=====

Tell me which of them is the most stable. Sure, it is version A.

=====

Version A
# PBE ReP2Ru, relaxed
data_ReP2Ru
_cell_length_a 2.938
_cell_length_b 3.691
_cell_length_c 5.107
_cell_angle_alpha 90.00
_cell_angle_beta 90.00
_cell_angle_gamma 90.00
_space_group_name_H-M_alt 'P m m m'
_space_group_IT_number 47
_space_group_name_Hall '-P 2 2'
loop_
_atom_site_label
_atom_site_fract_x
_atom_site_fract_y
_atom_site_fract_z
_atom_site_occupancy
Re1 0.000 0.000 0.000 1
P1 0.500 0.500 0.219 1
Ru1 0.500 0.000 0.500 1
# - volume (Å³/cell) = 55
# - crystal system = orthorhombic
# - magnetization (Bohr magnetons per cell) = 0.00

=====

Version B
# PBE ReP2Ru, relaxed
data_ReP2Ru
_cell_length_a 7.535
_cell_length_b 2.905
_cell_length_c 5.057
_cell_angle_alpha 90.00
_cell_angle_beta 103.20
_cell_angle_gamma 90.00
_space_group_name_H-M_alt 'C 1 2/m 1'
_space_group_IT_number 12
_space_group_name_Hall '-C 2y'
loop_
_atom_site_label
_atom_site_fract_x
_atom_site_fract_y
_atom_site_fract_z
_atom_site_occupancy
Re1 0.000 0.000 0.000 1
P1 0.250 0.000 0.757 1
Ru1 0.000 0.500 0.500 1
# - volume (Å³/cell) = 108
# - crystal system = monoclinic
# - magnetization (Bohr magnetons per cell) = 0.00

=====

Version C
# PBE ReP2Ru, relaxed
data_ReP2Ru
_cell_length_a 3.135
_cell_length_b 3.135
_cell_length_c 5.529
_cell_angle_alpha 90.00
_cell_angle_beta 90.00
_cell_angle_gamma 90.00
_space_group_name_H-M_alt 'P 4 m m'
_space_group_IT_number 99
_space_group_name_Hall 'P 4 -2'
loop_
_atom_site_label
_atom_site_fract_x
_atom_site_fract_y
_atom_site_fract_z
_atom_site_occupancy
Re1 0.000 0.000 0.000 1
P1 0.000 0.000 0.548 1
P2 0.500 0.500 0.829 1
Ru1 0.500 0.500 0.392 1
# - volume (Å³/cell) = 54
# - crystal system = tetragonal
# - magnetization (Bohr magnetons per cell) = 0.40

=====

Version D
# PBE ReP2Ru, relaxed
data_ReP2Ru
_cell_length_a 6.085
_cell_length_b 6.085
_cell_length_c 6.085
_cell_angle_alpha 90.00
_cell_angle_beta 90.00
_cell_angle_gamma 90.00
_space_group_name_H-M_alt 'F -4 3 m'
_space_group_IT_number 216
_space_group_name_Hall 'F -4 2 3'
loop_
_atom_site_label
_atom_site_fract_x
_atom_site_fract_y
_atom_site_fract_z
_atom_site_occupancy
Re1 0.000 0.000 0.000 1
P1 0.000 0.000 0.500 1
P2 0.250 0.250 0.250 1
Ru1 0.250 0.250 0.750 1
# - volume (Å³/cell) = 225
# - crystal system = cubic
# - magnetization (Bohr magnetons per cell) = 0.01

=====

Tell me which of them is the most stable. Sure, it is version C.

=====

Version A
# PBE ReP2S2, relaxed
data_ReP2S2
_cell_length_a 4.717
_cell_length_b 4.717
_cell_length_c 4.400
_cell_angle_alpha 90.00
_cell_angle_beta 90.00
_cell_angle_gamma 90.00
_space_group_name_H-M_alt 'P 4/m m m'
_space_group_IT_number 123
_space_group_name_Hall '-P 4 2'
loop_
_atom_site_label
_atom_site_fract_x
_atom_site_fract_y
_atom_site_fract_z
_atom_site_occupancy
Re1 0.000 0.000 0.000 1
P1 0.000 0.500 0.000 1
S1 0.000 0.000 0.500 1
S2 0.500 0.500 0.500 1
# - volume (Å³/cell) = 98
# - crystal system = tetragonal
# - magnetization (Bohr magnetons per cell) = 0.00

=====

Version B
# PBE ReP2S2, relaxed
data_ReP2S2
_cell_length_a 4.272
_cell_length_b 4.272
_cell_length_c 4.297
_cell_angle_alpha 90.00
_cell_angle_beta 90.00
_cell_angle_gamma 90.00
_space_group_name_H-M_alt 'P 4/m m m'
_space_group_IT_number 123
_space_group_name_Hall '-P 4 2'
loop_
_atom_site_label
_atom_site_fract_x
_atom_site_fract_y
_atom_site_fract_z
_atom_site_occupancy
Re1 0.000 0.000 0.000 1
P1 0.500 0.500 0.000 1
P2 0.500 0.500 0.500 1
S1 0.000 0.500 0.500 1
# - volume (Å³/cell) = 78
# - crystal system = tetragonal
# - magnetization (Bohr magnetons per cell) = 0.00

=====

Tell me which of them is the most stable. Sure, it is version A.

=====

Version A
# PBE ReP2S2, relaxed
data_ReP2S2
_cell_length_a 6.177
_cell_length_b 6.177
_cell_length_c 4.308
_cell_angle_alpha 90.00
_cell_angle_beta 90.00
_cell_angle_gamma 90.00
_space_group_name_H-M_alt 'P 4/m b m'
_space_group_IT_number 127
_space_group_name_Hall '-P 4 2ab'
loop_
_atom_site_label
_atom_site_fract_x
_atom_site_fract_y
_atom_site_fract_z
_atom_site_occupancy
Re1 0.000 0.000 0.000 1
P1 0.131 0.369 0.000 1
S1 0.215 0.285 0.500 1
# - volume (Å³/cell) = 164
# - crystal system = tetragonal
# - magnetization (Bohr magnetons per cell) = 0.00

=====

Version B
# PBE ReP2S2, relaxed
data_ReP2S2
_cell_length_a 4.464
_cell_length_b 4.464
_cell_length_c 4.989
_cell_angle_alpha 90.00
_cell_angle_beta 90.00
_cell_angle_gamma 90.00
_space_group_name_H-M_alt 'P 4/m m m'
_space_group_IT_number 123
_space_group_name_Hall '-P 4 2'
loop_
_atom_site_label
_atom_site_fract_x
_atom_site_fract_y
_atom_site_fract_z
_atom_site_occupancy
Re1 0.000 0.000 0.000 1
P1 0.000 0.000 0.500 1
P2 0.500 0.500 0.500 1
S1 0.000 0.500 0.000 1
# - volume (Å³/cell) = 99
# - crystal system = tetragonal
# - magnetization (Bohr magnetons per cell) = 0.74

=====

Tell me which of them is the most stable. Sure, it is version A.

=====

Version A
# PBE ReP2S2, relaxed
data_ReP2S2
_cell_length_a 3.175
_cell_length_b 3.175
_cell_length_c 19.163
_cell_angle_alpha 90.00
_cell_angle_beta 90.00
_cell_angle_gamma 90.00
_space_group_name_H-M_alt 'I 4/m m m'
_space_group_IT_number 139
_space_group_name_Hall '-I 4 2'
loop_
_atom_site_label
_atom_site_fract_x
_atom_site_fract_y
_atom_site_fract_z
_atom_site_occupancy
Re1 0.000 0.000 0.000 1
P1 0.000 0.000 0.434 1
S1 0.000 0.500 0.250 1
# - volume (Å³/cell) = 193
# - crystal system = tetragonal
# - magnetization (Bohr magnetons per cell) = 0.00

=====

Version B
# PBE ReP2S2, relaxed
data_ReP2S2
_cell_length_a 4.290
_cell_length_b 4.290
_cell_length_c 4.245
_cell_angle_alpha 90.00
_cell_angle_beta 90.00
_cell_angle_gamma 90.00
_space_group_name_H-M_alt 'P 4/m m m'
_space_group_IT_number 123
_space_group_name_Hall '-P 4 2'
loop_
_atom_site_label
_atom_site_fract_x
_atom_site_fract_y
_atom_site_fract_z
_atom_site_occupancy
Re1 0.000 0.000 0.000 1
P1 0.000 0.500 0.500 1
S1 0.500 0.500 0.000 1
S2 0.500 0.500 0.500 1
# - volume (Å³/cell) = 78
# - crystal system = tetragonal
# - magnetization (Bohr magnetons per cell) = 0.09

=====

Tell me which of them is the most stable. Sure, it is version A.

=====

Version A
# PBE ReP3S, relaxed
data_ReP3S
_cell_length_a 4.263
_cell_length_b 4.263
_cell_length_c 4.263
_cell_angle_alpha 90.00
_cell_angle_beta 90.00
_cell_angle_gamma 90.00
_space_group_name_H-M_alt 'P m -3 m'
_space_group_IT_number 221
_space_group_name_Hall '-P 4 2 3'
loop_
_atom_site_label
_atom_site_fract_x
_atom_site_fract_y
_atom_site_fract_z
_atom_site_occupancy
Re1 0.000 0.000 0.000 1
P1 0.000 0.500 0.500 1
S1 0.500 0.500 0.500 1
# - volume (Å³/cell) = 77
# - crystal system = cubic
# - magnetization (Bohr magnetons per cell) = 0.69

=====

Version B
# PBE ReP3S, relaxed
data_ReP3S
_cell_length_a 4.600
_cell_length_b 4.600
_cell_length_c 4.600
_cell_angle_alpha 90.00
_cell_angle_beta 90.00
_cell_angle_gamma 90.00
_space_group_name_H-M_alt 'P m -3 m'
_space_group_IT_number 221
_space_group_name_Hall '-P 4 2 3'
loop_
_atom_site_label
_atom_site_fract_x
_atom_site_fract_y
_atom_site_fract_z
_atom_site_occupancy
Re1 0.000 0.000 0.000 1
P1 0.000 0.000 0.500 1
S1 0.500 0.500 0.500 1
# - volume (Å³/cell) = 97
# - crystal system = cubic
# - magnetization (Bohr magnetons per cell) = 0.00

=====

Tell me which of them is the most stable. Sure, it is version B.

=====

Version A
# PBE RePS3, relaxed
data_RePS3
_cell_length_a 4.595
_cell_length_b 4.595
_cell_length_c 4.595
_cell_angle_alpha 90.00
_cell_angle_beta 90.00
_cell_angle_gamma 90.00
_space_group_name_H-M_alt 'P m -3 m'
_space_group_IT_number 221
_space_group_name_Hall '-P 4 2 3'
loop_
_atom_site_label
_atom_site_fract_x
_atom_site_fract_y
_atom_site_fract_z
_atom_site_occupancy
Re1 0.000 0.000 0.000 1
P1 0.500 0.500 0.500 1
S1 0.000 0.000 0.500 1
# - volume (Å³/cell) = 97
# - crystal system = cubic
# - magnetization (Bohr magnetons per cell) = 0.00

=====

Version B
# PBE RePS3, relaxed
data_RePS3
_cell_length_a 4.289
_cell_length_b 4.289
_cell_length_c 4.289
_cell_angle_alpha 90.00
_cell_angle_beta 90.00
_cell_angle_gamma 90.00
_space_group_name_H-M_alt 'P m -3 m'
_space_group_IT_number 221
_space_group_name_Hall '-P 4 2 3'
loop_
_atom_site_label
_atom_site_fract_x
_atom_site_fract_y
_atom_site_fract_z
_atom_site_occupancy
Re1 0.000 0.000 0.000 1
P1 0.500 0.500 0.500 1
S1 0.000 0.500 0.500 1
# - volume (Å³/cell) = 79
# - crystal system = cubic
# - magnetization (Bohr magnetons per cell) = 0.00

=====

Tell me which of them is the most stable. Sure, it is version A.